Compound: Eu2CoRuO6
Source: Alexandria
Functional: PBE with a Hubbard U
Structure: optimized geometry

Cell and atoms, written as POSCAR:
```
Eu2CoRuO6
1.0
5.680 0.000 0.000
0.000 5.522 0.013
0.000 5.467 7.877
Eu Co Ru O
4 2 2 12
Cartesian
0.301 8.174 5.931
5.379 2.814 1.960
3.141 5.548 5.899
2.539 5.441 1.992
2.840 2.761 0.007
0.000 5.494 3.945
2.840 2.733 3.939
0.000 0.000 0.000
4.477 7.175 4.307
1.203 3.814 3.584
1.637 6.547 7.522
4.043 4.441 0.368
1.716 6.647 4.281
3.964 4.342 3.610
4.556 7.075 7.548
1.124 3.913 0.342
2.705 8.714 5.876
2.975 2.275 2.014
5.545 5.008 5.953
0.135 5.980 1.938
```

Properties
- N(E_F) (states/eV/atom) = 2.395
- calculated total energy (eV per atom) = -8.39
- V (Å³/atom) = 12.3
- calculated density (g cm⁻³) = 7.5

---

Compound: Eu2CoTe2S2O14
Source: Alexandria
Functional: PBE with a Hubbard U
Structure: optimized geometry

Cell and atoms, written as POSCAR:
```
Eu2CoTe2S2O14
1.0
5.445 -0.101 -0.103
0.367 7.958 0.118
-2.461 -3.405 7.198
Eu Co Te S O
2 1 2 2 14
Cartesian
-1.689 -1.351 7.127
5.040 5.803 0.086
-1.231 -1.702 3.599
1.440 -0.180 4.619
1.911 4.633 2.594
3.864 1.030 1.771
-0.513 3.423 5.442
-0.526 2.147 2.069
3.877 2.305 5.144
3.780 0.133 2.973
-0.429 4.319 4.240
2.535 1.656 1.592
0.816 2.796 5.621
4.244 0.242 0.549
-0.893 4.211 6.664
2.044 0.193 6.363
1.307 4.259 0.850
-0.210 -1.041 5.143
3.561 5.494 2.069
2.529 -1.786 4.601
0.822 6.239 2.612
```

Properties
- N(E_F) (states/eV/atom) = 1.563
- calculated total energy (eV per atom) = -6.92
- V (Å³/atom) = 14.9
- calculated density (g cm⁻³) = 4.8

---

Compound: SrEuYCoO6
Source: Alexandria
Functional: PBE with a Hubbard U
Structure: optimized geometry

Cell and atoms, written as POSCAR:
```
SrEuYCoO6
1.0
1.069 -4.282 -3.603
3.004 -4.513 1.751
-2.574 -5.033 0.713
Sr Eu Y Co O
1 1 1 1 6
Cartesian
0.375 -3.457 -0.285
1.125 -10.371 -0.854
0.750 -6.914 -0.569
0.000 0.000 0.000
1.966 -5.618 0.683
-0.467 -8.210 -1.822
0.577 -8.334 1.068
0.922 -5.494 -2.206
-1.044 -5.899 0.123
2.544 -7.929 -1.261
```

Properties
- N(E_F) (states/eV/atom) = 0.746
- calculated total energy (eV per atom) = -7.56
- V (Å³/atom) = 13.1
- calculated density (g cm⁻³) = 6.1

---

Repeat the first record exactly.
Compound: Eu2CoRuO6
Source: Alexandria
Functional: PBE with a Hubbard U
Structure: optimized geometry

Cell and atoms, written as POSCAR:
```
Eu2CoRuO6
1.0
5.680 0.000 0.000
0.000 5.522 0.013
0.000 5.467 7.877
Eu Co Ru O
4 2 2 12
Cartesian
0.301 8.174 5.931
5.379 2.814 1.960
3.141 5.548 5.899
2.539 5.441 1.992
2.840 2.761 0.007
0.000 5.494 3.945
2.840 2.733 3.939
0.000 0.000 0.000
4.477 7.175 4.307
1.203 3.814 3.584
1.637 6.547 7.522
4.043 4.441 0.368
1.716 6.647 4.281
3.964 4.342 3.610
4.556 7.075 7.548
1.124 3.913 0.342
2.705 8.714 5.876
2.975 2.275 2.014
5.545 5.008 5.953
0.135 5.980 1.938
```

Properties
- N(E_F) (states/eV/atom) = 2.395
- calculated total energy (eV per atom) = -8.39
- V (Å³/atom) = 12.3
- calculated density (g cm⁻³) = 7.5

---

Number 3 is which compound?
SrEuYCoO6

---

Copy entry 1 word for word.
Compound: Eu2CoRuO6
Source: Alexandria
Functional: PBE with a Hubbard U
Structure: optimized geometry

Cell and atoms, written as POSCAR:
```
Eu2CoRuO6
1.0
5.680 0.000 0.000
0.000 5.522 0.013
0.000 5.467 7.877
Eu Co Ru O
4 2 2 12
Cartesian
0.301 8.174 5.931
5.379 2.814 1.960
3.141 5.548 5.899
2.539 5.441 1.992
2.840 2.761 0.007
0.000 5.494 3.945
2.840 2.733 3.939
0.000 0.000 0.000
4.477 7.175 4.307
1.203 3.814 3.584
1.637 6.547 7.522
4.043 4.441 0.368
1.716 6.647 4.281
3.964 4.342 3.610
4.556 7.075 7.548
1.124 3.913 0.342
2.705 8.714 5.876
2.975 2.275 2.014
5.545 5.008 5.953
0.135 5.980 1.938
```

Properties
- N(E_F) (states/eV/atom) = 2.395
- calculated total energy (eV per atom) = -8.39
- V (Å³/atom) = 12.3
- calculated density (g cm⁻³) = 7.5

---

Among the records above, which one has the lowest V?
Eu2CoRuO6